[1]
A relaxed Ti4Pd2Rh crystal, computed with GGA-PBE.

Calculated values
Space-group type ... No. 65
Density ... 6.82 g/cm3
E_form ... -59 meV/atom
E_tot ... -7.104 eV per atom

a = 4.3388 Å, b = 4.1969 Å, c = 7.1027 Å
α = 107.18°, β = 90.00°, γ = 90.00°
With the nearest neighbours (Å) after each atom.
Atoms (fractional coordinates):
Ti 0.5000 0.6851 0.3702  2 Pd 2.47, 2 Ti 2.74
Ti 0.0000 0.8245 0.6489  2 Pd 2.47
Ti 0.5000 0.3149 0.6298  2 Pd 2.47, 2 Ti 2.74
Ti 0.0000 0.1755 0.3511  2 Pd 2.47
Pd 0.5000 0.0889 0.1777  1 Pd 2.41, 4 Ti 2.47
Pd 0.5000 0.9111 0.8223  1 Pd 2.41, 4 Ti 2.47
Rh 0.0000 0.5000 0.0000  8 Ti 3.17-3.32, 8 Pd 3.25

---

[2]
A relaxed Ti5Pd2Rh crystal, computed with GGA-PBE.

Calculated values
Space-group type ... No. 140
Density ... 6.92 g/cm3
E_form ... -362 meV/atom
E_tot ... -7.513 eV per atom

a = 6.4112 Å, b = 6.4112 Å, c = 7.9066 Å
α = 113.92°, β = 113.92°, γ = 90.00°
With the nearest neighbours (Å) after each atom.
Atoms (fractional coordinates):
Ti 0.4974 0.6787 0.6761  2 Rh 2.67, 3 Pd 2.76-2.86, 2 Ti 2.81-2.89
Ti 0.8213 0.0026 0.3239  2 Rh 2.67, 3 Pd 2.76-2.86, 2 Ti 2.81-2.89
Ti 0.0000 0.0000 0.0000  4 Pd 2.47
Ti 0.5000 0.5000 0.0000  4 Pd 2.47
Ti 0.1787 0.9974 0.6761  2 Rh 2.67, 3 Pd 2.76-2.86, 2 Ti 2.81-2.89
Ti 0.6787 0.1787 0.6761  2 Rh 2.67, 3 Pd 2.76-2.86, 2 Ti 2.81-2.89
Ti 0.9974 0.4974 0.6761  2 Rh 2.67, 3 Pd 2.76-2.86, 2 Ti 2.81-2.89
Ti 0.3213 0.8213 0.3239  2 Rh 2.67, 3 Pd 2.76-2.86, 2 Ti 2.81-2.89
Ti 0.0026 0.5026 0.3239  2 Rh 2.67, 3 Pd 2.76-2.86, 2 Ti 2.81-2.89
Ti 0.5026 0.3213 0.3239  2 Rh 2.67, 3 Pd 2.76-2.86, 2 Ti 2.81-2.89
Pd 0.1421 0.3579 0.0000  4 Ti 2.47-2.76, 1 Pd 2.58
Pd 0.6421 0.1421 0.0000  4 Ti 2.47-2.76, 1 Pd 2.58
Pd 0.3579 0.8579 0.0000  4 Ti 2.47-2.76, 1 Pd 2.58
Pd 0.8579 0.6421 0.0000  4 Ti 2.47-2.76, 1 Pd 2.58
Rh 0.7500 0.7500 0.5000  8 Ti 2.67
Rh 0.2500 0.2500 0.5000  8 Ti 2.67

---

[3]
A relaxed Ti4Pd2Rh3 crystal, computed with GGA-PBE.

Calculated values
Space-group type ... No. 12
Density ... 8.60 g/cm3
E_form ... -625 meV/atom
E_tot ... -7.738 eV per atom

a = 4.0721 Å, b = 4.6609 Å, c = 8.1984 Å
α = 80.71°, β = 90.00°, γ = 64.09°
With the nearest neighbours (Å) after each atom.
Atoms (fractional coordinates):
Ti 0.6563 0.6871 0.8812  3 Rh 2.49-2.70, 4 Pd 2.68-2.74
Ti 0.0272 0.9458 0.3456  6 Rh 2.60-2.87, 1 Ti 2.65, 2 Pd 2.71
Ti 0.9728 0.0542 0.6544  6 Rh 2.60-2.87, 1 Ti 2.65, 2 Pd 2.71
Ti 0.3437 0.3129 0.1188  3 Rh 2.49-2.70, 4 Pd 2.68-2.74
Pd 0.3262 0.3472 0.7873  7 Ti 2.68-2.97, 4 Rh 2.86-2.90
Pd 0.6738 0.6528 0.2127  7 Ti 2.68-2.97, 4 Rh 2.86-2.90
Rh 0.3418 0.3175 0.4218  4 Ti 2.49-2.71, 1 Rh 2.74
Rh 0.0000 0.0000 0.0000  8 Ti 2.70-2.87, 4 Pd 2.90
Rh 0.6582 0.6825 0.5782  4 Ti 2.49-2.71, 1 Rh 2.74

---

[4]
A relaxed Ti12Pd2Rh5 crystal, computed with GGA-PBE.

Calculated values
Space-group type ... No. 12
Density ... 6.48 g/cm3
E_form ... -271 meV/atom
E_tot ... -7.738 eV per atom

a = 5.8635 Å, b = 7.6299 Å, c = 8.2286 Å
α = 100.29°, β = 90.00°, γ = 112.60°
With the nearest neighbours (Å) after each atom.
Atoms (fractional coordinates):
Ti 0.8920 0.7840 0.1711  2 Pd 2.69, 4 Ti 2.80-2.92, 1 Rh 2.84
Ti 0.0588 0.6281 0.8661  3 Rh 2.41-2.57, 1 Pd 2.64
Ti 0.5693 0.6281 0.8661  3 Rh 2.41-2.57, 1 Pd 2.64
Ti 0.1246 0.7205 0.4383  3 Rh 2.48-2.52, 1 Ti 2.76
Ti 0.5960 0.7205 0.4383  3 Rh 2.48-2.52, 1 Ti 2.76
Ti 0.4935 0.9869 0.6890  2 Rh 2.62-2.92, 4 Ti 2.84-2.86
Ti 0.5065 0.0131 0.3110  2 Rh 2.62-2.92, 4 Ti 2.84-2.86
Ti 0.8754 0.2795 0.5617  3 Rh 2.48-2.52, 1 Ti 2.76
Ti 0.4040 0.2795 0.5617  3 Rh 2.48-2.52, 1 Ti 2.76
Ti 0.9412 0.3719 0.1339  3 Rh 2.41-2.57, 1 Pd 2.64
Ti 0.4307 0.3719 0.1339  3 Rh 2.41-2.57, 1 Pd 2.64
Ti 0.1080 0.2160 0.8289  2 Pd 2.69, 4 Ti 2.80-2.92, 1 Rh 2.84
Pd 0.7509 0.0000 0.0000  6 Ti 2.64-2.94, 2 Pd 2.92-2.94
Pd 0.2491 0.0000 0.0000  6 Ti 2.64-2.94, 2 Pd 2.92-2.94
Rh 0.2826 0.5652 0.6324  6 Ti 2.41-2.52
Rh 0.3336 0.6673 0.1241  5 Ti 2.54-2.62
Rh 0.0000 0.0000 0.5000  4 Ti 2.48
Rh 0.6664 0.3327 0.8759  5 Ti 2.54-2.62
Rh 0.7174 0.4348 0.3676  6 Ti 2.41-2.52

---

[5]
A relaxed Ti3PdRh5 crystal, computed with GGA-PBE.

Calculated values
Space-group type ... No. 193
Density ... 9.56 g/cm3
E_form ... -681 meV/atom
E_tot ... -7.974 eV per atom

a = 5.4245 Å, b = 7.5201 Å, c = 7.5197 Å
α = 120.00°, β = 90.00°, γ = 90.00°
With the nearest neighbours (Å) after each atom.
Atoms (fractional coordinates):
Ti 0.7500 0.3432 0.3432  5 Rh 2.46-2.71
Ti 0.7500 0.0000 0.6568  5 Rh 2.46-2.71
Ti 0.7500 0.6568 0.0000  5 Rh 2.46-2.71
Ti 0.2500 0.6568 0.6568  5 Rh 2.46-2.71
Ti 0.2500 0.0000 0.3432  5 Rh 2.46-2.71
Ti 0.2500 0.3432 0.0000  5 Rh 2.46-2.71
Pd 0.0000 0.0000 0.0000  2 Pd 2.71, 6 Rh 2.83, 6 Ti 2.92
Pd 0.5000 0.0000 0.0000  2 Pd 2.71, 6 Rh 2.83, 6 Ti 2.92
Rh 0.0000 0.6667 0.3333  8 Rh 2.71-2.86, 6 Ti 2.82
Rh 0.5000 0.3333 0.6667  8 Rh 2.71-2.86, 6 Ti 2.82
Rh 0.0000 0.3333 0.6667  8 Rh 2.71-2.86, 6 Ti 2.82
Rh 0.5000 0.6667 0.3333  8 Rh 2.71-2.86, 6 Ti 2.82
Rh 0.7500 0.6703 0.6703  5 Ti 2.46-2.71
Rh 0.7500 0.0000 0.3297  5 Ti 2.46-2.71
Rh 0.7500 0.3296 0.0000  5 Ti 2.46-2.71
Rh 0.2500 0.3297 0.3297  5 Ti 2.46-2.71
Rh 0.2500 0.0000 0.6703  5 Ti 2.46-2.71
Rh 0.2500 0.6704 0.0000  5 Ti 2.46-2.71

---

[6]
A relaxed Ti11Pd9Rh4 crystal, computed with GGA-PBE.

Calculated values
Space-group type ... No. 65
Density ... 8.38 g/cm3
E_form ... -601 meV/atom
E_tot ... -7.392 eV per atom

a = 2.9508 Å, b = 11.9543 Å, c = 11.9543 Å
α = 116.95°, β = 90.00°, γ = 90.00°
With the nearest neighbours (Å) after each atom.
Atoms (fractional coordinates):
Ti 0.0000 0.6008 0.9495  2 Rh 2.59, 6 Pd 2.77-2.82, 1 Ti 2.81
Ti 0.0000 0.3992 0.0505  2 Rh 2.59, 6 Pd 2.77-2.82, 1 Ti 2.81
Ti 0.0000 0.9495 0.6008  2 Rh 2.59, 6 Pd 2.77-2.82, 1 Ti 2.81
Ti 0.0000 0.0505 0.3992  2 Rh 2.59, 6 Pd 2.77-2.82, 1 Ti 2.81
Ti 0.0000 0.6297 0.3703  4 Rh 2.58
Ti 0.0000 0.3703 0.6297  4 Rh 2.58
Ti 0.0000 0.8284 0.1716  4 Ti 2.81-2.95, 8 Pd 2.82-2.86
Ti 0.0000 0.1716 0.8284  4 Ti 2.81-2.95, 8 Pd 2.82-2.86
Ti 0.0000 0.0000 0.0000  8 Pd 2.61
Ti 0.0000 0.7196 0.7196  4 Rh 2.58
Ti 0.0000 0.2804 0.2804  4 Rh 2.58
Pd 0.5000 0.6203 0.1538  8 Ti 2.77-2.94, 3 Pd 2.82-2.95, 1 Rh 2.83
Pd 0.5000 0.3797 0.8462  8 Ti 2.77-2.94, 3 Pd 2.82-2.95, 1 Rh 2.83
Pd 0.5000 0.1538 0.6203  8 Ti 2.77-2.94, 3 Pd 2.82-2.95, 1 Rh 2.83
Pd 0.5000 0.8462 0.3797  8 Ti 2.77-2.94, 3 Pd 2.82-2.95, 1 Rh 2.83
Pd 0.5000 0.8049 0.9569  6 Ti 2.61-2.86, 1 Rh 2.79
Pd 0.5000 0.1951 0.0431  6 Ti 2.61-2.86, 1 Rh 2.79
Pd 0.5000 0.9569 0.8049  6 Ti 2.61-2.86, 1 Rh 2.79
Pd 0.5000 0.0431 0.1951  6 Ti 2.61-2.86, 1 Rh 2.79
Pd 0.5000 0.5000 0.5000  4 Rh 2.82, 2 Pd 2.95, 8 Ti 3.03-3.12
Rh 0.5000 0.5632 0.7578  6 Ti 2.58-2.59, 3 Pd 2.79-2.83
Rh 0.5000 0.4368 0.2422  6 Ti 2.58-2.59, 3 Pd 2.79-2.83
Rh 0.5000 0.7578 0.5632  6 Ti 2.58-2.59, 3 Pd 2.79-2.83
Rh 0.5000 0.2422 0.4368  6 Ti 2.58-2.59, 3 Pd 2.79-2.83

---

[7]
A relaxed Ti7Pd2Rh crystal, computed with GGA-PBE.

Calculated values
Space-group type ... No. 225
Density ... 5.53 g/cm3
E_form ... 619 meV/atom
E_tot ... -6.681 eV per atom

a = 6.5139 Å, b = 6.5139 Å, c = 6.5139 Å
α = 60.00°, β = 60.00°, γ = 60.00°
With the nearest neighbours (Å) after each atom.
Atoms (fractional coordinates):
Ti 0.5000 0.5000 0.5000  6 Ti 2.27
Ti 0.2539 0.7461 0.7461  1 Ti 2.27, 1 Rh 2.34
Ti 0.2539 0.7461 0.2539  1 Ti 2.27, 1 Rh 2.34
Ti 0.7461 0.2539 0.7461  1 Ti 2.27, 1 Rh 2.34
Ti 0.7461 0.7461 0.2539  1 Ti 2.27, 1 Rh 2.34
Ti 0.2539 0.2539 0.7461  1 Ti 2.27, 1 Rh 2.34
Ti 0.7461 0.2539 0.2539  1 Ti 2.27, 1 Rh 2.34
Pd 0.2500 0.2500 0.2500  12 Ti 3.26
Pd 0.7500 0.7500 0.7500  12 Ti 3.26
Rh 0.0000 0.0000 0.0000  6 Ti 2.34

---

[8]
A relaxed Ti4PdRh crystal, computed with GGA-PBE.

Calculated values
Space-group type ... No. 123
Density ... 5.96 g/cm3
E_form ... -127 meV/atom
Energy relative to the lowest polymorph listed for this composition ... 403 meV/atom
E_tot ... -7.481 eV per atom

a = 4.2900 Å, b = 4.2908 Å, c = 6.0695 Å
α = 89.97°, β = 89.98°, γ = 90.00°
With the nearest neighbours (Å) after each atom.
Atoms (fractional coordinates):
Ti 0.5012 0.9970 0.2545  2 Rh 2.60-2.61, 2 Pd 2.65
Ti 0.5014 0.9976 0.7417  2 Rh 2.60-2.61, 2 Pd 2.65
Ti 0.0014 0.4975 0.7417  2 Rh 2.60-2.61, 2 Pd 2.65
Ti 0.0012 0.4971 0.2546  2 Rh 2.60-2.61, 2 Pd 2.65
Pd 0.5013 0.4973 0.9982  8 Ti 2.65
Rh 0.0013 0.9972 0.4982  8 Ti 2.60-2.61

---

[9]
A relaxed Ti2PdRh2 crystal, computed with GGA-PBE.

Calculated values
Space-group type ... No. 127
Density ... 8.72 g/cm3
E_form ... -630 meV/atom
Energy relative to the lowest polymorph listed for this composition ... 0 meV/atom
E_tot ... -7.767 eV per atom

a = 7.2187 Å, b = 7.2187 Å, c = 2.9813 Å
α = 90.00°, β = 90.00°, γ = 90.00°
With the nearest neighbours (Å) after each atom.
Atoms (fractional coordinates):
Rh 0.3643 0.8643 0.0000  6 Ti 2.53-2.64, 1 Rh 2.77, 2 Pd 2.81
Rh 0.8643 0.6357 0.0000  6 Ti 2.53-2.64, 1 Rh 2.77, 2 Pd 2.81
Rh 0.6357 0.1357 0.0000  6 Ti 2.53-2.64, 1 Rh 2.77, 2 Pd 2.81
Rh 0.1357 0.3643 0.0000  6 Ti 2.53-2.64, 1 Rh 2.77, 2 Pd 2.81
Pd 0.0000 0.0000 0.0000  4 Rh 2.81, 2 Pd 2.98, 8 Ti 3.08
Pd 0.5000 0.5000 0.0000  4 Rh 2.81, 2 Pd 2.98, 8 Ti 3.08
Ti 0.1640 0.6640 0.5000  6 Rh 2.53-2.64
Ti 0.6640 0.8360 0.5000  6 Rh 2.53-2.64
Ti 0.8360 0.3360 0.5000  6 Rh 2.53-2.64
Ti 0.3360 0.1640 0.5000  6 Rh 2.53-2.64

---

[10]
A relaxed TiPdRh crystal, computed with GGA-PBE.

Calculated values
Space-group type ... No. 156
Density ... 9.41 g/cm3
E_form ... -498 meV/atom
Energy relative to the lowest polymorph listed for this composition ... 150 meV/atom
E_tot ... -7.311 eV per atom

a = 2.8121 Å, b = 4.3179 Å, c = 4.3179 Å
α = 120.00°, β = 90.00°, γ = 90.00°
With the nearest neighbours (Å) after each atom.
Atoms (fractional coordinates):
Rh 0.7304 0.3333 0.6667  3 Ti 2.60, 3 Pd 2.80, 2 Rh 2.81
Pd 0.2749 0.6667 0.3333  3 Ti 2.61, 6 Rh 2.80-2.93, 2 Pd 2.81
Ti 0.9947 0.0000 0.0000  3 Rh 2.60, 3 Pd 2.61, 2 Ti 2.81

---

[11]
A relaxed Ti2Pd3Rh crystal, computed with GGA-PBE.

Calculated values
Space-group type ... No. 72
Density ... 8.87 g/cm3
E_form ... -476 meV/atom
Energy relative to the lowest polymorph listed for this composition ... 69 meV/atom
E_tot ... -6.929 eV per atom

a = 5.4016 Å, b = 5.3783 Å, c = 7.6887 Å
α = 110.47°, β = 110.57°, γ = 90.00°
With the nearest neighbours (Å) after each atom.
Atoms (fractional coordinates):
Ti 0.3568 0.1303 0.2607  2 Rh 2.52, 6 Pd 2.53-2.79
Ti 0.6432 0.8697 0.7393  2 Rh 2.52, 6 Pd 2.53-2.79
Ti 0.0961 0.3697 0.7393  2 Rh 2.52, 6 Pd 2.53-2.79
Ti 0.9039 0.6303 0.2607  2 Rh 2.52, 6 Pd 2.53-2.79
Pd 0.4633 0.6799 0.3598  5 Ti 2.53-2.83
Pd 0.5367 0.3201 0.6402  5 Ti 2.53-2.83
Pd 0.1035 0.8201 0.6402  5 Ti 2.53-2.83
Pd 0.8965 0.1799 0.3598  5 Ti 2.53-2.83
Pd 0.5000 0.7500 0.0000  4 Ti 2.65, 2 Pd 2.69, 2 Rh 2.70
Pd 0.5000 0.2500 0.0000  4 Ti 2.65, 2 Pd 2.69, 2 Rh 2.70
Rh 0.0000 0.2500 0.0000  4 Ti 2.52, 2 Rh 2.69, 2 Pd 2.70
Rh 0.0000 0.7500 0.0000  4 Ti 2.52, 2 Rh 2.69, 2 Pd 2.70

---

[12]
A relaxed Ti2Pd7Rh crystal, computed with GGA-PBE.

Calculated values
Space-group type ... No. 65
Density ... 9.08 g/cm3
E_form ... 17 meV/atom
E_tot ... -5.932 eV per atom

a = 2.7810 Å, b = 8.5149 Å, c = 8.5149 Å
α = 121.15°, β = 90.00°, γ = 90.00°
With the nearest neighbours (Å) after each atom.
Atoms (fractional coordinates):
Ti 0.5000 0.6714 0.3286  5 Pd 2.47-2.54
Ti 0.5000 0.3286 0.6714  5 Pd 2.47-2.54
Pd 0.0000 0.8113 0.1887  2 Ti 2.50, 6 Pd 2.74-2.78
Pd 0.0000 0.1887 0.8113  2 Ti 2.50, 6 Pd 2.74-2.78
Pd 0.5000 0.1346 0.3335  1 Ti 2.47, 3 Pd 2.67-2.74
Pd 0.5000 0.8654 0.6665  1 Ti 2.47, 3 Pd 2.67-2.74
Pd 0.5000 0.3335 0.1346  1 Ti 2.47, 3 Pd 2.67-2.74
Pd 0.5000 0.6665 0.8654  1 Ti 2.47, 3 Pd 2.67-2.74
Pd 0.5000 0.5000 0.5000  2 Ti 2.54, 6 Pd 2.67-2.78
Rh 0.0000 0.0000 0.0000  2 Rh 2.78, 10 Pd 2.80-2.82

---

Among the records above, which one has the lowest E_form?
Ti3PdRh5

---

Which value of E_tot does entry 7 give?
-6.681 eV per atom